First-principles (PBE) data for a relaxed structure of YFeRuI2, as listed in Alexandria via LeMat-Bulk.

Structure (POSCAR):
```
YFeRuI2
1.0
5.881 0.000 0.000
0.000 5.881 0.000
0.000 0.000 5.103
Y Fe Ru I
1 1 1 2
Direct
0.000 0.000 0.000
0.000 0.000 0.500
0.500 0.500 0.500
0.000 0.500 0.000
0.500 0.000 0.000
```

* calculated total energy: -21.114 eV/f.u.
* volume: 35.304 A^3/atom
* ΔE_f (raw): 597.1 kJ/mol of formula units
* space group: P4/mmm